## RbV2PdO6 (GGA+U)

Data for a geometry-optimized RbV2PdO6 structure.

## Properties
* space group: C2/c (15)
* theoretical density: 3.5 g/cm3
* calculated total energy: -132.524 eV per cell
* M_tot: 1.915 Bohr magnetons per cell
* D(E_F): 1.16 states/eV per cell
* crystal system: monoclinic

a = 8.1307 Å, b = 8.1307 Å, c = 5.9990 Å
α = 105.25°, β = 105.25°, γ = 90.03°
Last column: nearest neighbours and their distance in Å.
Fractional coordinates of all 20 atoms:
Rb  0.1106  0.8894  0.7500  6 O 2.79-3.03
Rb  0.8894  0.1106  0.2500  6 O 2.79-3.03
V  0.2154  0.3818  0.8714  4 O 1.68-1.83
V  0.3818  0.2154  0.3714  4 O 1.68-1.83
V  0.6182  0.7846  0.6286  4 O 1.68-1.83
V  0.7846  0.6182  0.1286  4 O 1.68-1.83
Pd  0.2857  0.7143  0.2500  2 O 2.06
Pd  0.7143  0.2857  0.7500  2 O 2.06
O  0.0348  0.2537  0.7504  1 V 1.68
O  0.1659  0.5904  0.8969  1 V 1.72
O  0.2537  0.0348  0.2504  1 V 1.68
O  0.3264  0.3451  0.1602  2 V 1.82-1.83
O  0.3451  0.3264  0.6602  2 V 1.82-1.83
O  0.4096  0.8341  0.6031  1 V 1.72
O  0.5904  0.1659  0.3969  1 V 1.72
O  0.6549  0.6736  0.3398  2 V 1.82-1.83
O  0.6736  0.6549  0.8398  2 V 1.82-1.83
O  0.7463  0.9652  0.7496  1 V 1.68
O  0.8341  0.4096  0.1031  1 V 1.72
O  0.9652  0.7463  0.2496  1 V 1.68